# RbNa2TiB

RbNa2TiB after structural relaxation (GGA-PBEsol, the Alexandria database).

## Properties
- Density of states at the Fermi level: 1.7883 states/eV per atom
- Calculated formation energy: 1498 meV/atom

a b c (Å): 5.2607 5.2607 5.7385
angles (deg): 90.00 90.00 90.00
Fractional coordinates of all 5 atoms:
Na: 0.0000 0.5000 0.0000
Na: 0.5000 0.0000 0.0000
B: 0.0000 0.0000 0.0000
Rb: 0.0000 0.0000 0.5000
Ti: 0.5000 0.5000 0.5000


# Li2HgPt

Li2HgPt after structural relaxation (GGA-PBEsol, the Alexandria database).

## Properties
- Density of states at the Fermi level: 0.2698 states/eV per atom
- Calculated formation energy: -366 meV/atom

a b c (Å): 2.9226 4.7353 4.8312
angles (deg): 101.87 90.00 107.97
Fractional coordinates of all 4 atoms:
Hg: 0.5000 0.0000 0.0000
Li: 0.7415 0.4830 0.7254
Li: 0.2585 0.5170 0.2746
Pt: 0.0000 0.0000 0.5000